P) The following is a DFT calculation (PBE) of an optimized crystal structure of Sc3Pt4.

The calculation puts the volume at 745.4 Å³ per cell.

It has space group R-3 (No. 148, hexagonal axes), with a = 12.4321 Å, b = 12.4321 Å, c = 5.5688 Å, α = 90.00°, β = 90.00° and γ = 120.00°. Symmetry generates all atoms from Sc at (0.0420, 0.2158, 0.2279), Pt at (0.0000, 0.0000, 0.0000), Pt at (0.0000, 0.0000, 0.5000) and Pt at (0.0490, 0.2618, 0.7131).

---

Q) The following is a DFT calculation (PBE) of an optimized crystal structure of Sc3Pt4.

The calculation puts the volume at 125.9 Å³ per cell.

It has space group P6/mmm (No. 191), with a = 5.3925 Å, b = 5.3925 Å, c = 5.0003 Å, α = 90.00°, β = 90.00° and γ = 120.00°. Symmetry generates all atoms from Sc at (0.0000, 0.5000, 0.0000), Pt at (0.0000, 0.0000, 0.2562) and Pt at (0.3333, 0.6667, 0.5000).

---

R) The following is a DFT calculation (PBE) of an optimized crystal structure of Sc3Pt4.

The calculation puts the volume at 258.2 Å³ per cell.

It has space group I4/mmm (No. 139), with a = 3.5670 Å, b = 3.5670 Å, c = 20.2927 Å, α = 90.00°, β = 90.00° and γ = 90.00°. Symmetry generates all atoms from Sc at (0.0000, 0.0000, 0.0000), Sc at (0.0000, 0.0000, 0.3003), Pt at (0.0000, 0.0000, 0.1558) and Pt at (0.0000, 0.0000, 0.4316).

---

Most stable: P)

---

P) The following is a DFT calculation (PBE) of an optimized crystal structure of Sc4Pt3.

The calculation puts the volume at 414.9 Å³ per cell.

It has space group R-3m (No. 166, hexagonal axes), with a = 4.6129 Å, b = 4.6129 Å, c = 22.5174 Å, α = 90.00°, β = 90.00° and γ = 120.00°. Symmetry generates all atoms from Sc at (0.0000, 0.0000, 0.1222), Sc at (0.0000, 0.0000, 0.3727), Pt at (0.0000, 0.0000, 0.2498) and Pt at (0.0000, 0.0000, 0.5000).

---

Q) The following is a DFT calculation (PBE) of an optimized crystal structure of Sc4Pt3.

The calculation puts the volume at 131.4 Å³ per cell.

It has space group P6/mmm (No. 191), with a = 5.4337 Å, b = 5.4337 Å, c = 5.1406 Å, α = 90.00°, β = 90.00° and γ = 120.00°. Symmetry generates all atoms from Sc at (0.0000, 0.0000, 0.2408), Sc at (0.3333, 0.6667, 0.5000) and Pt at (0.0000, 0.5000, 0.0000).

---

R) The following is a DFT calculation (PBE) of an optimized crystal structure of Sc4Pt3.

The calculation puts the volume at 794.0 Å³ per cell.

It has space group R-3 (No. 148, hexagonal axes), with a = 12.3029 Å, b = 12.3029 Å, c = 6.0572 Å, α = 90.00°, β = 90.00° and γ = 120.00°. Symmetry generates all atoms from Sc at (0.0000, 0.0000, 0.0000), Sc at (0.0000, 0.0000, 0.5000), Sc at (0.0560, 0.2560, 0.1678) and Pt at (0.0454, 0.2224, 0.7208).

---

S) The following is a DFT calculation (PBE) of an optimized crystal structure of Sc4Pt3.

The calculation puts the volume at 279.8 Å³ per cell.

It has space group I4/mmm (No. 139), with a = 3.6528 Å, b = 3.6528 Å, c = 20.9718 Å, α = 90.00°, β = 90.00° and γ = 90.00°. Symmetry generates all atoms from Sc at (0.0000, 0.0000, 0.0675), Sc at (0.0000, 0.0000, 0.3332), Pt at (0.0000, 0.0000, 0.1972) and Pt at (0.0000, 0.0000, 0.5000).

---

Most stable: P)

---

P) The following is a DFT calculation (PBE) of an optimized crystal structure of Sc3Si3Pt.

The calculation puts the volume at 493.6 Å³ per cell.

It has space group C2/m (No. 12), with a = 9.9537 Å, b = 4.0639 Å, c = 12.9518 Å, α = 90.00°, β = 109.58° and γ = 90.00°. Symmetry generates all atoms from Sc at (0.0221, 0.0000, 0.3735), Sc at (0.1036, 0.0000, 0.9240), Sc at (0.2374, 0.0000, 0.2230), Si at (0.0252, 0.5000, 0.2276), Si at (0.1154, 0.5000, 0.0737), Si at (0.1258, 0.5000, 0.5433) and Pt at (0.2419, 0.5000, 0.3926).

---

Q) The following is a DFT calculation (PBE) of an optimized crystal structure of Sc3Si3Pt.

The calculation puts the volume at 484.6 Å³ per cell.

It has space group Pnma (No. 62), with a = 11.7100 Å, b = 4.0372 Å, c = 10.2503 Å, α = 90.00°, β = 90.00° and γ = 90.00°. Symmetry generates all atoms from Sc at (0.0208, 0.2500, 0.1244), Sc at (0.0993, 0.2500, 0.4200), Sc at (0.1991, 0.7500, 0.6578), Si at (0.0432, 0.2500, 0.6878), Si at (0.1555, 0.7500, 0.2473), Si at (0.1751, 0.7500, 0.0174) and Pt at (0.1783, 0.2500, 0.8865).

---

Most stable: Q)

---

P) The following is a DFT calculation (PBE) of an optimized crystal structure of SmScPt2.

The calculation puts the volume at 80.7 Å³ per cell.

It has space group P4/mmm (No. 123), with a = 3.3628 Å, b = 3.3628 Å, c = 7.1351 Å, α = 90.00°, β = 90.00° and γ = 90.00°. Symmetry generates all atoms from Sm at (0.0000, 0.0000, 0.0000), Sc at (0.0000, 0.0000, 0.5000) and Pt at (0.5000, 0.5000, 0.2816).

---

Q) The following is a DFT calculation (PBE) of an optimized crystal structure of SmScPt2.

The calculation puts the volume at 167.2 Å³ per cell.

It has space group P2_1/m (No. 11), with a = 5.7915 Å, b = 4.5198 Å, c = 6.8721 Å, α = 90.00°, β = 111.68° and γ = 90.00°. Symmetry generates all atoms from Sm at (0.1789, 0.2500, 0.3912), Sc at (0.3682, 0.7500, 0.1009), Pt at (0.1133, 0.2500, 0.8984) and Pt at (0.3644, 0.7500, 0.7112).

---

R) The following is a DFT calculation (PBE) of an optimized crystal structure of SmScPt2.

The calculation puts the volume at 85.5 Å³ per cell.

It has space group Pm (No. 6), with a = 3.6958 Å, b = 4.4415 Å, c = 5.5278 Å, α = 90.00°, β = 109.60° and γ = 90.00°. Symmetry generates all atoms from Sm at (0.0000, 0.0000, 0.0000), Sc at (0.2769, 0.5000, 0.5536), Pt at (0.5552, 0.5000, 0.1102) and Pt at (0.7303, 0.0000, 0.4594).

---

Most stable: Q)